No. 1
DFT (PBE-GGA) results for Sc2InSb2 after structural relaxation.

The structure in POSCAR format:
```
Sc2InSb2
1.0
8.143 0.000 0.000
0.000 8.143 0.000
0.000 0.000 3.789
Sc In Sb
4 2 4
Direct
0.148 0.352 0.000
0.352 0.852 0.000
0.648 0.148 0.000
0.852 0.648 0.000
0.000 0.000 0.500
0.500 0.500 0.500
0.149 0.649 0.500
0.351 0.149 0.500
0.649 0.851 0.500
0.851 0.351 0.500
```

Results
Total moment: 0.000 μB per cell
Volume: 251 Å³ per cell
ΔE_f (raw): -0.535 eV/atom
Raw total energy: -26.32 eV per formula unit
Polymorph energy (0 for the lowest one): 0.157 eV/f.u.
SG: P4/mbm (127)

No. 2
DFT (PBE-GGA) results for ScIn2Sb after structural relaxation.

The structure in POSCAR format:
```
ScIn2Sb
1.0
-4.196 4.196 3.022
4.196 -4.196 3.022
4.196 4.196 -3.022
Sc In Sb
2 4 2
Direct
0.000 0.000 0.000
0.750 0.250 0.500
0.133 0.125 0.508
0.375 0.867 0.992
0.617 0.625 0.492
0.875 0.383 0.008
0.250 0.750 0.500
0.500 0.500 0.000
```

Results
Total moment: 0.000 μB per cell
Volume: 213 Å³ per cell
ΔE_f (raw): -0.130 eV/atom
Raw total energy: -16.45 eV per formula unit
SG: I-42d (122)

No. 3
DFT (PBE-GGA) results for ScInSb2 after structural relaxation.

The structure in POSCAR format:
```
ScInSb2
1.0
3.952 0.000 0.000
0.000 3.952 0.000
0.000 0.000 6.489
Sc In Sb
1 1 2
Direct
0.000 0.000 0.000
0.000 0.000 0.500
0.500 0.500 0.227
0.500 0.500 0.773
```

Results
Total moment: 0.000 μB per cell
Volume: 101 Å³ per cell
ΔE_f (raw): -0.378 eV/atom
Raw total energy: -18.83 eV per formula unit
SG: P4/mmm (123)

No. 4
DFT (PBE-GGA) results for ScIn2Sb after structural relaxation.

The structure in POSCAR format:
```
ScIn2Sb
1.0
4.002 0.000 0.000
0.000 4.002 0.000
0.000 0.000 6.270
Sc In Sb
1 2 1
Direct
0.000 0.000 0.000
0.000 0.000 0.512
0.500 0.500 0.283
0.500 0.500 0.815
```

Results
Total moment: 0.000 μB per cell
Volume: 100 Å³ per cell
ΔE_f (raw): -0.313 eV/atom
Raw total energy: -17.18 eV per formula unit
SG: P4mm (99)

No. 5
DFT (PBE-GGA) results for ScInSb2 after structural relaxation.

The structure in POSCAR format:
```
ScInSb2
1.0
3.469 0.000 0.000
0.000 3.469 0.000
0.000 0.000 8.794
Sc In Sb
1 1 2
Direct
0.000 0.000 0.000
0.000 0.000 0.500
0.500 0.500 0.219
0.500 0.500 0.781
```

Results
Total moment: 0.000 μB per cell
Volume: 106 Å³ per cell
ΔE_f (raw): -0.290 eV/atom
Raw total energy: -18.47 eV per formula unit
SG: P4/mmm (123)

No. 6
DFT (PBE-GGA) results for Sc8In2Sb after structural relaxation.

The structure in POSCAR format:
```
Sc8In2Sb
1.0
4.066 -6.946 0.000
4.066 6.946 0.000
-2.368 0.000 4.712
Sc In Sb
8 2 1
Direct
0.098 0.323 0.639
0.213 0.787 0.000
0.323 0.098 0.639
0.406 0.406 0.205
0.594 0.594 0.795
0.677 0.902 0.361
0.787 0.213 0.000
0.902 0.677 0.361
0.305 0.695 0.500
0.695 0.305 0.500
0.000 0.000 0.000
```

Results
Total moment: 1.591 μB per cell
Volume: 266 Å³ per cell
ΔE_f (raw): -0.221 eV/atom
Raw total energy: -62.68 eV per formula unit
SG: C2/m (12)

> Which value of total moment does entry 4 give?

0.000 μB per cell

Copy entry 4 word for word.
DFT (PBE-GGA) results for ScIn2Sb after structural relaxation.

The structure in POSCAR format:
```
ScIn2Sb
1.0
4.002 0.000 0.000
0.000 4.002 0.000
0.000 0.000 6.270
Sc In Sb
1 2 1
Direct
0.000 0.000 0.000
0.000 0.000 0.512
0.500 0.500 0.283
0.500 0.500 0.815
```

Results
Total moment: 0.000 μB per cell
Volume: 100 Å³ per cell
ΔE_f (raw): -0.313 eV/atom
Raw total energy: -17.18 eV per formula unit
SG: P4mm (99)